Entry from the Alexandria database: crystalline TiGaIrS2 at its relaxed geometry (GGA-PBE).

The structure in POSCAR format:
```
TiGaIrS2
1.0
4.699 0.000 0.000
0.000 4.667 0.000
0.000 0.000 4.699
S Ir Ga Ti
2 1 1 1
direct
0.000 0.000 0.500 S
0.500 0.000 0.000 S
0.000 0.000 0.000 Ir
0.000 0.500 0.000 Ga
0.500 0.500 0.500 Ti
```

Summary:
Total moment = 0.0 Bohr magnetons per cell
DFT total energy = -5.09 eV/atom
ρ = 6026 kg/m3
Formation energy (no corrections) = 522 meV/atom